1.
{"formula": "YSbF3", "functional": "PBE-GGA", "state": "relaxed", "cell": [[4.5226, 0.0000, 0.0000], [0.0000, 4.5226, 0.0000], [0.0000, 0.0000, 4.5226]], "species": ["Y", "Sb", "F", "F", "F"], "fractional_positions": [[0.0000, 0.0000, 0.0000], [0.5000, 0.5000, 0.5000], [0.0000, 0.0000, 0.5000], [0.0000, 0.5000, 0.0000], [0.5000, 0.0000, 0.0000]], "formation_energy_uncorrected_mev_per_atom": -2526, "total_magnetization_mub_per_cell": 0.00, "energy_ev_per_atom": -5.766, "de_polymorph_ev_per_fu": 0.00, "space_group": "Pm-3m (221)"}


2.
{"formula": "Y5Sb3F", "functional": "PBE-GGA", "state": "relaxed", "cell": [[8.9858, 0.0000, 0.0000], [-4.4929, 7.7819, 0.0000], [0.0000, 0.0000, 6.3003]], "species": ["Y", "Y", "Y", "Y", "Y", "Y", "Y", "Y", "Y", "Y", "Sb", "Sb", "Sb", "Sb", "Sb", "Sb", "F", "F"], "fractional_positions": [[0.0000, 0.2577, 0.2500], [0.0000, 0.7423, 0.7500], [0.2577, 0.0000, 0.2500], [0.2577, 0.2577, 0.7500], [0.3333, 0.6667, 0.0000], [0.3333, 0.6667, 0.5000], [0.6667, 0.3333, 0.0000], [0.6667, 0.3333, 0.5000], [0.7423, 0.0000, 0.7500], [0.7423, 0.7423, 0.2500], [0.0000, 0.3870, 0.7500], [0.0000, 0.6130, 0.2500], [0.3870, 0.0000, 0.7500], [0.3870, 0.3870, 0.2500], [0.6130, 0.0000, 0.2500], [0.6130, 0.6130, 0.7500], [0.0000, 0.0000, 0.0000], [0.0000, 0.0000, 0.5000]], "formation_energy_uncorrected_mev_per_atom": -1373, "total_magnetization_mub_per_cell": 0.00, "energy_ev_per_atom": -6.546, "space_group": "P6_3/mcm (193)"}


3.
{"formula": "YSb2F", "functional": "PBE-GGA", "state": "relaxed", "cell": [[0.0000, 3.6227, 3.6227], [3.6227, 0.0000, 3.6227], [3.6227, 3.6227, 0.0000]], "species": ["Y", "Sb", "Sb", "F"], "fractional_positions": [[0.0000, 0.0000, 0.0000], [0.2500, 0.2500, 0.2500], [0.7500, 0.7500, 0.7500], [0.5000, 0.5000, 0.5000]], "formation_energy_uncorrected_mev_per_atom": -750, "total_magnetization_mub_per_cell": 0.00, "energy_ev_per_atom": -4.895, "de_polymorph_ev_per_fu": 1.24, "space_group": "Fm-3m (225)"}